Na2LiI3 after structural relaxation. Source: Alexandria via LeMat-Bulk, functional PBE.

```
data_Na2LiI3
_symmetry_space_group_name_H-M 'I m m m'
_symmetry_Int_Tables_number 71
_symmetry_space_group_name_Hall '-I 2 2'
_cell_length_a 4.450
_cell_length_b 6.413
_cell_length_c 13.552
_cell_angle_alpha 90.00
_cell_angle_beta 90.00
_cell_angle_gamma 90.00
loop_
_atom_site_label
_atom_site_type_symbol
_atom_site_fract_x
_atom_site_fract_y
_atom_site_fract_z
_atom_site_occupancy
Na1 Na 0.000 0.000 0.169 1
Li1 Li 0.000 0.000 0.500 1
I1 I 0.000 0.500 0.155 1
I2 I 0.000 0.500 0.500 1
```

Output
Relative energy among the computed polymorphs: 0.0 kJ per mole of atoms
Formation energy without anion corrections: -1.2210 eV per atom

=====

Rb2Sm2NpSe6 after structural relaxation. Source: Alexandria via LeMat-Bulk, functional PBE.

```
data_Rb2Sm2NpSe6
_symmetry_space_group_name_H-M 'C 1 2/m 1'
_symmetry_Int_Tables_number 12
_symmetry_space_group_name_Hall '-C 2y'
_cell_length_a 7.371
_cell_length_b 12.718
_cell_length_c 8.561
_cell_angle_alpha 90.00
_cell_angle_beta 107.04
_cell_angle_gamma 90.00
loop_
_atom_site_label
_atom_site_type_symbol
_atom_site_fract_x
_atom_site_fract_y
_atom_site_fract_z
_atom_site_occupancy
Rb1 Rb 0.000 0.170 0.000 1
Sm1 Sm 0.000 0.334 0.500 1
Np1 Np 0.000 0.000 0.500 1
Se1 Se 0.227 0.162 0.693 1
Se2 Se 0.244 0.500 0.692 1
```

Output
Formation energy without anion corrections: -1.5623 eV per atom

=====

SrIn2RhAu after structural relaxation. Source: Alexandria via LeMat-Bulk, functional PBE.

```
data_SrIn2RhAu
_symmetry_space_group_name_H-M 'P 4/m m m'
_symmetry_Int_Tables_number 123
_symmetry_space_group_name_Hall '-P 4 2'
_cell_length_a 5.143
_cell_length_b 5.143
_cell_length_c 5.742
_cell_angle_alpha 90.00
_cell_angle_beta 90.00
_cell_angle_gamma 90.00
loop_
_atom_site_label
_atom_site_type_symbol
_atom_site_fract_x
_atom_site_fract_y
_atom_site_fract_z
_atom_site_occupancy
Sr1 Sr 0.000 0.000 0.000 1
In1 In 0.000 0.500 0.500 1
Rh1 Rh 0.500 0.500 0.000 1
Au1 Au 0.000 0.000 0.500 1
```

Output
E_form: 0.34 eV/atom

=====

LiPmMg2 after structural relaxation. Source: Alexandria via LeMat-Bulk, functional PBE.

```
data_LiPmMg2
_symmetry_space_group_name_H-M 'P 4/m m m'
_symmetry_Int_Tables_number 123
_symmetry_space_group_name_Hall '-P 4 2'
_cell_length_a 5.502
_cell_length_b 5.502
_cell_length_c 3.507
_cell_angle_alpha 90.00
_cell_angle_beta 90.00
_cell_angle_gamma 90.00
loop_
_atom_site_label
_atom_site_type_symbol
_atom_site_fract_x
_atom_site_fract_y
_atom_site_fract_z
_atom_site_occupancy
Li1 Li 0.000 0.000 0.000 1
Pm1 Pm 0.500 0.500 0.000 1
Mg1 Mg 0.000 0.500 0.500 1
```

Output
Relative energy among the computed polymorphs: 7.8 kJ per mole of atoms
E_form: 0.02 eV/atom

=====

Mg2NiMo after structural relaxation. Source: Alexandria via LeMat-Bulk, functional PBE.

```
data_Mg2NiMo
_symmetry_space_group_name_H-M 'R -3 m'
_symmetry_Int_Tables_number 166
_symmetry_space_group_name_Hall '-R 3 2"'
_cell_length_a 2.8335
_cell_length_b 2.8335
_cell_length_c 27.4921
_cell_angle_alpha 90.00
_cell_angle_beta 90.00
_cell_angle_gamma 120.00
loop_
_atom_site_label
_atom_site_type_symbol
_atom_site_fract_x
_atom_site_fract_y
_atom_site_fract_z
_atom_site_occupancy
Mg1 Mg 0.0000 0.0000 0.2429 1
Ni1 Ni 0.0000 0.0000 0.5000 1
Mo1 Mo 0.0000 0.0000 0.0000 1
```

Output
Relative energy among the computed polymorphs: 20.5 kJ per mole of atoms
E_form: 0.28 eV/atom

=====

KZn2MoN after structural relaxation. Source: Alexandria via LeMat-Bulk, functional PBE.

```
data_KZn2MoN
_symmetry_space_group_name_H-M 'P 4/m m m'
_symmetry_Int_Tables_number 123
_symmetry_space_group_name_Hall '-P 4 2'
_cell_length_a 5.339
_cell_length_b 5.339
_cell_length_c 4.209
_cell_angle_alpha 90.00
_cell_angle_beta 90.00
_cell_angle_gamma 90.00
loop_
_atom_site_label
_atom_site_type_symbol
_atom_site_fract_x
_atom_site_fract_y
_atom_site_fract_z
_atom_site_occupancy
K1 K 0.000 0.000 0.000 1
Zn1 Zn 0.000 0.500 0.000 1
Mo1 Mo 0.500 0.500 0.500 1
N1 N 0.000 0.000 0.500 1
```

Output
Formation energy without anion corrections: 2.2628 eV per atom

=====

Si2BI after structural relaxation. Source: Alexandria via LeMat-Bulk, functional PBE.

```
data_Si2BI
_symmetry_space_group_name_H-M 'C 1 m 1'
_symmetry_Int_Tables_number 8
_symmetry_space_group_name_Hall 'C -2y'
_cell_length_a 7.439
_cell_length_b 3.779
_cell_length_c 6.853
_cell_angle_alpha 90.00
_cell_angle_beta 90.68
_cell_angle_gamma 90.00
loop_
_atom_site_label
_atom_site_type_symbol
_atom_site_fract_x
_atom_site_fract_y
_atom_site_fract_z
_atom_site_occupancy
Si1 Si 0.000 0.000 0.000 1
Si2 Si 0.179 0.500 0.000 1
B1 B 0.337 0.500 0.762 1
I1 I 0.334 0.000 0.557 1
```

Output
Relative energy among the computed polymorphs: 10.5 kJ per mole of atoms
Formation energy without anion corrections: 0.5247 eV per atom

=====

BaCo2 after structural relaxation. Source: Alexandria via LeMat-Bulk, functional PBE.

```
data_BaCo2
_symmetry_space_group_name_H-M 'C m c m'
_symmetry_Int_Tables_number 63
_symmetry_space_group_name_Hall '-C 2c 2'
_cell_length_a 3.228
_cell_length_b 21.314
_cell_length_c 3.868
_cell_angle_alpha 90.00
_cell_angle_beta 90.00
_cell_angle_gamma 90.00
loop_
_atom_site_label
_atom_site_type_symbol
_atom_site_fract_x
_atom_site_fract_y
_atom_site_fract_z
_atom_site_occupancy
Ba1 Ba 0.000 0.119 0.250 1
Co1 Co 0.000 0.247 0.750 1
Co2 Co 0.000 0.479 0.250 1
```

Output
E_form: 0.70 eV/atom

=====

CoAs2Br after structural relaxation. Source: Alexandria via LeMat-Bulk, functional PBE.

```
data_CoAs2Br
_symmetry_space_group_name_H-M 'P 4/m m m'
_symmetry_Int_Tables_number 123
_symmetry_space_group_name_Hall '-P 4 2'
_cell_length_a 4.990
_cell_length_b 4.990
_cell_length_c 2.965
_cell_angle_alpha 90.00
_cell_angle_beta 90.00
_cell_angle_gamma 90.00
loop_
_atom_site_label
_atom_site_type_symbol
_atom_site_fract_x
_atom_site_fract_y
_atom_site_fract_z
_atom_site_occupancy
Co1 Co 0.000 0.000 0.000 1
As1 As 0.000 0.500 0.500 1
Br1 Br 0.500 0.500 0.000 1
```

Output
Relative energy among the computed polymorphs: 88.0 kJ per mole of atoms
Formation energy without anion corrections: 0.7879 eV per atom

=====

Zn2Tc after structural relaxation. Source: Alexandria via LeMat-Bulk, functional PBE.

```
data_Zn2Tc
_symmetry_space_group_name_H-M 'P 4/m m m'
_symmetry_Int_Tables_number 123
_symmetry_space_group_name_Hall '-P 4 2'
_cell_length_a 4.695
_cell_length_b 4.695
_cell_length_c 2.505
_cell_angle_alpha 90.00
_cell_angle_beta 90.00
_cell_angle_gamma 90.00
loop_
_atom_site_label
_atom_site_type_symbol
_atom_site_fract_x
_atom_site_fract_y
_atom_site_fract_z
_atom_site_occupancy
Zn1 Zn 0.000 0.500 0.000 1
Tc1 Tc 0.000 0.000 0.500 1
```

Output
Relative energy among the computed polymorphs: 19.9 kJ per mole of atoms
E_form: 0.21 eV/atom

=====

Ac3Ag2Ge3 after structural relaxation. Source: Alexandria via LeMat-Bulk, functional PBE.

```
data_Ac3Ag2Ge3
_symmetry_space_group_name_H-M 'C m c m'
_symmetry_Int_Tables_number 63
_symmetry_space_group_name_Hall '-C 2c 2'
_cell_length_a 4.668
_cell_length_b 11.718
_cell_length_c 15.619
_cell_angle_alpha 90.00
_cell_angle_beta 90.00
_cell_angle_gamma 90.00
loop_
_atom_site_label
_atom_site_type_symbol
_atom_site_fract_x
_atom_site_fract_y
_atom_site_fract_z
_atom_site_occupancy
Ac1 Ac 0.000 0.087 0.112 1
Ac2 Ac 0.000 0.367 0.250 1
Ag1 Ag 0.000 0.209 0.588 1
Ge1 Ge 0.000 0.332 0.750 1
Ge2 Ge 0.000 0.401 0.043 1
```

Output
E_form: -0.57 eV/atom